1.
K2TlAuCl6 | PBE-GGA | optimized geometry

Cell and atoms, written as extended XYZ:
```
10
Lattice="0.000 5.269 5.269 5.269 0.000 5.269 5.269 5.269 0.000" Properties=species:S:1:pos:R:3 pbc="T T T"
Au 0.000 0.000 0.000
Cl 2.583 5.269 5.269
Cl 5.269 2.583 5.269
Cl 5.269 5.269 7.956
Cl 5.269 5.269 2.583
Cl 5.269 7.956 5.269
Cl 7.956 5.269 5.269
K 2.635 2.635 2.635
K 7.904 7.904 7.904
Tl 5.269 5.269 5.269
```

Summary:
Symmetry: Fm-3m (225)
Crystal system: cubic

2.
LiAuCl4 | PBE-GGA | optimized geometry

Cell and atoms, written as extended XYZ:
```
12
Lattice="-4.693 4.693 3.487 4.693 -4.693 3.487 4.693 4.693 -3.487" Properties=species:S:1:pos:R:3 pbc="T T T"
Au 0.000 0.000 1.720
Au 0.000 4.693 3.463
Cl 0.000 1.579 3.415
Cl 0.000 1.647 0.057
Cl -1.647 4.693 1.801
Cl 3.114 0.000 1.672
Cl 6.271 0.000 1.672
Cl 1.647 4.693 1.801
Cl 0.000 7.738 0.057
Cl 4.693 3.114 -0.072
Li 0.000 0.000 5.283
Li 0.000 4.693 0.053
```

Summary:
Symmetry: I4_1md (109)
Crystal system: tetragonal

3.
LiAuCl4 | PBE-GGA | optimized geometry

Cell and atoms, written as extended XYZ:
```
12
Lattice="-2.812 5.883 -1.384 -4.426 -3.044 -3.946 -4.327 -0.784 5.459" Properties=species:S:1:pos:R:3 pbc="T T T"
Au 0.000 0.000 0.000
Au -2.164 -0.392 2.729
Cl -2.797 3.574 -1.629
Cl -4.514 -0.748 -3.610
Cl -3.758 0.831 1.565
Cl -7.735 1.237 -1.528
Cl -5.834 3.524 0.458
Cl -5.804 -1.482 -0.238
Cl -6.117 -0.638 3.986
Cl -9.704 1.922 1.510
Li -2.488 2.746 0.673
Li -5.459 -2.110 2.121
```

Summary:
Symmetry: P-42c (112)
Crystal system: tetragonal

4.
Tl2NiAuCl6 | PBE-GGA | optimized geometry

Cell and atoms, written as extended XYZ:
```
10
Lattice="-2.483 2.056 6.171 -6.519 -1.611 1.842 -1.142 -4.680 5.028" Properties=species:S:1:pos:R:3 pbc="T T T"
Au 0.000 0.000 0.000
Cl -3.842 -0.135 6.354
Cl -5.759 -1.877 4.298
Cl -6.939 -0.900 7.229
Cl -3.205 -3.334 5.811
Cl -4.385 -2.357 8.743
Cl -6.301 -4.099 6.686
Ni -5.072 -2.117 6.520
Tl -2.536 -1.059 3.260
Tl -7.608 -3.176 9.780
```

Summary:
Spin magnetization (μB/cell): 0.67
Symmetry: Fm-3m (225)
Crystal system: cubic

5.
NpAuCl6 | PBE-GGA | optimized geometry

Cell and atoms, written as extended XYZ:
```
8
Lattice="-3.761 4.919 1.934 0.337 -5.292 4.486 5.924 4.356 -0.659" Properties=species:S:1:pos:R:3 pbc="T T T"
Au 0.000 0.000 0.000
Cl -0.445 -1.354 4.999
Cl -1.534 1.928 4.487
Cl 0.678 0.414 2.165
Cl 1.822 3.568 3.596
Cl 4.034 2.055 1.274
Cl 2.944 5.337 0.762
Np -1.712 -0.187 3.210
```

Summary:
Spin magnetization (μB/cell): 2.00
Symmetry: P-1 (2)
Crystal system: triclinic

6.
AuClO2 | PBE-GGA | optimized geometry

Cell and atoms, written as extended XYZ:
```
8
Lattice="0.515 8.719 3.672 -2.345 -5.732 -7.169 -2.939 -0.526 1.477" Properties=species:S:1:pos:R:3 pbc="T T T"
Au -1.173 -2.866 -3.585
Au -1.212 4.096 2.574
Cl -2.070 -0.760 -2.971
Cl -2.700 3.220 0.951
O -2.183 3.035 -2.306
O -0.901 0.778 0.364
O -3.868 1.682 -2.385
O -2.586 -0.575 0.285
```

Summary:
Symmetry: C2/c (15)
Crystal system: monoclinic

7.
AuClO6 | PBE-GGA | optimized geometry

Cell and atoms, written as extended XYZ:
```
8
Lattice="0.000 3.620 3.620 3.620 0.000 3.620 3.620 3.620 0.000" Properties=species:S:1:pos:R:3 pbc="T T T"
Au 1.810 1.810 1.810
Cl 0.000 0.000 0.000
O 5.430 5.430 7.076
O 3.785 5.430 5.430
O 5.430 3.785 5.430
O 7.076 5.430 5.430
O 5.430 5.430 3.785
O 5.430 7.076 5.430
```

Summary:
Symmetry: F-43m (216)
Crystal system: cubic

8.
PAuCl4 | PBE-GGA | optimized geometry

Cell and atoms, written as extended XYZ:
```
24
Lattice="7.355 0.000 0.012 0.000 14.697 0.000 -0.691 0.000 6.152" Properties=species:S:1:pos:R:3 pbc="T T T"
Au 0.263 3.461 0.129
Au 6.746 10.810 2.959
Au -0.082 3.887 3.205
Au 6.401 11.236 6.035
Cl 6.044 5.147 0.102
Cl 3.706 12.152 0.451
Cl 5.799 14.456 0.969
Cl 4.780 8.456 1.081
Cl 2.230 1.108 2.008
Cl 1.211 7.107 2.119
Cl 3.304 4.804 2.637
Cl 0.966 12.495 2.987
Cl 5.698 2.202 3.177
Cl 3.360 9.894 3.527
Cl 5.453 7.590 4.045
Cl 4.434 13.590 4.156
Cl 1.884 6.241 5.083
Cl 0.865 0.241 5.195
Cl 2.958 2.545 5.713
Cl 0.620 9.551 6.062
P 1.849 1.884 0.184
P 5.160 9.232 2.905
P 1.504 5.465 3.259
P 4.815 12.814 5.980
```

Summary:
Symmetry: P2_1/c (14)
Crystal system: monoclinic

9.
PAuCl8 | PBE-GGA | optimized geometry

Cell and atoms, written as extended XYZ:
```
40
Lattice="3.988 9.855 -4.718 -7.686 1.360 8.623 7.117 -6.733 6.269" Properties=species:S:1:pos:R:3 pbc="T T T"
Au 0.979 3.339 1.242
Au -3.246 -0.455 8.138
Au 6.665 4.937 2.036
Au 2.440 1.143 8.932
Cl 1.068 4.127 -0.935
Cl -2.472 8.497 2.971
Cl -2.842 3.408 4.149
Cl 2.402 9.457 -1.895
Cl -3.169 0.328 5.960
Cl 3.200 6.742 -0.411
Cl -3.363 4.696 7.026
Cl 1.382 -1.532 2.528
Cl -1.061 5.877 5.107
Cl -3.960 1.625 8.861
Cl 1.405 7.305 2.689
Cl 0.902 2.555 3.421
Cl 3.197 3.963 1.552
Cl 0.419 -0.369 5.343
Cl -0.704 3.038 6.529
Cl -3.336 -1.242 10.314
Cl 6.754 5.725 -0.139
Cl 4.123 1.444 3.645
Cl 3.000 4.851 4.831
Cl 0.222 0.520 8.622
Cl 2.517 1.927 6.753
Cl 2.014 -2.823 7.485
Cl 7.379 2.857 1.313
Cl 4.480 -1.395 5.067
Cl 2.037 6.014 7.647
Cl 0.218 -2.260 10.585
Cl 6.781 -0.214 3.148
Cl 6.588 4.154 4.214
Cl 1.017 -4.975 12.069
Cl 6.260 1.074 6.026
Cl 5.890 -4.015 7.203
Cl 2.350 0.355 11.109
P -0.143 -1.352 3.748
P -1.992 4.256 5.700
P -0.426 -4.021 11.145
P 5.411 0.226 4.474
```

Summary:
Symmetry: Imma (74)
Crystal system: orthorhombic

10.
PbAu2Cl8 | PBE-GGA | optimized geometry

Cell and atoms, written as extended XYZ:
```
11
Lattice="-1.836 -1.333 7.648 1.987 6.847 3.580 -4.643 -1.017 -6.407" Properties=species:S:1:pos:R:3 pbc="T T T"
Au -3.202 0.204 3.428
Au -1.290 4.294 1.393
Cl 0.283 4.450 3.101
Cl -1.619 1.631 7.868
Cl -1.959 0.860 -2.074
Cl -2.545 0.856 1.292
Cl -2.570 2.310 4.191
Cl -1.911 4.969 6.233
Cl -4.812 -1.281 -0.985
Cl -2.837 4.195 -0.344
Pb 0.075 2.757 5.614
```

Summary:
Symmetry: I422 (97)
Crystal system: tetragonal

11.
Rb2PdAuCl6 | PBE-GGA | optimized geometry

Cell and atoms, written as extended XYZ:
```
20
Lattice="-4.284 5.588 -1.119 -5.650 -4.396 -0.323 2.949 -4.603 11.068" Properties=species:S:1:pos:R:3 pbc="T T T"
Au -4.967 0.596 -0.721
Au -0.667 0.492 4.974
Cl -7.566 0.847 -1.069
Cl -4.674 3.126 -0.906
Cl -0.345 0.263 2.429
Cl -5.291 0.824 1.825
Cl -3.811 -4.257 4.996
Cl -1.081 -2.104 5.150
Cl -5.903 -1.308 4.475
Cl -3.173 0.845 4.629
Cl -1.694 -4.235 7.801
Cl -6.639 -3.675 7.197
Cl -2.310 -6.538 10.532
Cl 0.581 -4.259 10.695
Pd 0.000 0.000 0.000
Pd -1.350 -4.500 5.372
Rb -3.167 -1.960 2.321
Rb -2.486 3.034 1.931
Rb -4.499 -6.445 7.695
Rb -3.818 -1.451 7.304
```

Summary:
Symmetry: P2_1/c (14)
Crystal system: monoclinic

12.
Tl2PdAuCl6 | PBE-GGA | optimized geometry

Cell and atoms, written as extended XYZ:
```
10
Lattice="0.000 5.028 5.028 5.028 0.000 5.028 5.028 5.028 0.000" Properties=species:S:1:pos:R:3 pbc="T T T"
Au 5.028 5.028 5.028
Cl 2.456 5.028 5.028
Cl 5.028 2.456 5.028
Cl 5.028 5.028 7.600
Cl 5.028 5.028 2.456
Cl 5.028 7.600 5.028
Cl 7.600 5.028 5.028
Pd 0.000 0.000 0.000
Tl 2.514 2.514 2.514
Tl 7.542 7.542 7.542
```

Summary:
Symmetry: Fm-3m (225)
Crystal system: cubic

Table of volume (Å³ per cell), in record order: 292.6 307.1 311.5 238.7 255.7 150.3 94.9 665.2 1146.8 306.8 515.2 254.2
Table of VASP energy (eV per atom), in record order: -2.948 -2.881 -2.867 -3.090 -4.532 -3.805 -2.876 -3.259 -2.850 -2.780 -3.169 -3.043